1.
# CePr3Cd4 | the Alexandria database | PBE | optimized geometry
# - energy (eV per atom) = -3.26
# - energy relative to the elements (meV per atom) = -265
data_CePr3Cd4
_chemical_formula_sum 'Ce1 Pr3 Cd4'
_cell_length_a 3.862
_cell_length_b 3.862
_cell_length_c 15.565
_cell_angle_alpha 90.00
_cell_angle_beta 90.00
_cell_angle_gamma 90.00
_symmetry_space_group_name_H-M 'P 1'
_symmetry_Int_Tables_number 1
loop_
_symmetry_equiv_pos_as_xyz
'x,y,z'
loop_
_atom_site_label
_atom_site_type_symbol
_atom_site_fract_x
_atom_site_fract_y
_atom_site_fract_z
Ce1 Ce 0.000 0.000 0.000
Pr1 Pr 0.000 0.000 0.249
Pr2 Pr 0.000 0.000 0.500
Pr3 Pr 0.000 0.000 0.751
Cd1 Cd 0.500 0.500 0.123
Cd2 Cd 0.500 0.500 0.375
Cd3 Cd 0.500 0.500 0.625
Cd4 Cd 0.500 0.500 0.877

2.
# PSe2Br | the Alexandria database | PBE | optimized geometry
# - ΔE_f (raw) (eV/atom) = 0.467
# - energy (eV per atom) = -3.05
data_PSe2Br
_chemical_formula_sum 'P1 Se2 Br1'
_cell_length_a 8.698
_cell_length_b 8.698
_cell_length_c 2.587
_cell_angle_alpha 90.00
_cell_angle_beta 90.00
_cell_angle_gamma 144.15
_symmetry_space_group_name_H-M 'P 1'
_symmetry_Int_Tables_number 1
loop_
_symmetry_equiv_pos_as_xyz
'x,y,z'
loop_
_atom_site_label
_atom_site_type_symbol
_atom_site_fract_x
_atom_site_fract_y
_atom_site_fract_z
P1 P 0.000 0.000 0.000
Se1 Se 0.000 0.500 0.500
Se2 Se 0.500 0.000 0.500
Br1 Br 0.500 0.500 0.000

3.
# FeCu2Si | the Alexandria database | PBE | optimized geometry
# - ΔE_f (raw) (eV/atom) = 0.053
# - energy (eV per atom) = -5.47
data_FeCu2Si
_chemical_formula_sum 'Fe1 Cu2 Si1'
_cell_length_a 4.499
_cell_length_b 4.499
_cell_length_c 2.616
_cell_angle_alpha 90.00
_cell_angle_beta 90.00
_cell_angle_gamma 114.53
_symmetry_space_group_name_H-M 'P 1'
_symmetry_Int_Tables_number 1
loop_
_symmetry_equiv_pos_as_xyz
'x,y,z'
loop_
_atom_site_label
_atom_site_type_symbol
_atom_site_fract_x
_atom_site_fract_y
_atom_site_fract_z
Fe1 Fe 0.000 0.000 0.000
Cu1 Cu 0.000 0.500 0.500
Cu2 Cu 0.500 0.000 0.500
Si1 Si 0.500 0.500 0.000

4.
# LiAs2OsBr | the Alexandria database | PBE | optimized geometry
# - ΔE_f (raw) (eV/atom) = 0.207
# - energy (eV per atom) = -4.62
data_LiAs2OsBr
_chemical_formula_sum 'Li1 As2 Os1 Br1'
_cell_length_a 4.689
_cell_length_b 4.689
_cell_length_c 5.939
_cell_angle_alpha 90.00
_cell_angle_beta 90.00
_cell_angle_gamma 90.00
_symmetry_space_group_name_H-M 'P 1'
_symmetry_Int_Tables_number 1
loop_
_symmetry_equiv_pos_as_xyz
'x,y,z'
loop_
_atom_site_label
_atom_site_type_symbol
_atom_site_fract_x
_atom_site_fract_y
_atom_site_fract_z
Li1 Li 0.000 0.000 0.000
As1 As 0.000 0.500 0.500
As2 As 0.500 0.000 0.500
Os1 Os 0.500 0.500 0.500
Br1 Br 0.500 0.500 0.000

5.
# RbNa2Re | the Alexandria database | PBE | optimized geometry
# - energy (eV per atom) = -2.59
# - energy relative to the elements (meV per atom) = 1419
data_RbNa2Re
_chemical_formula_sum 'Rb1 Na2 Re1'
_cell_length_a 5.674
_cell_length_b 5.674
_cell_length_c 5.674
_cell_angle_alpha 60.00
_cell_angle_beta 60.00
_cell_angle_gamma 60.00
_symmetry_space_group_name_H-M 'P 1'
_symmetry_Int_Tables_number 1
loop_
_symmetry_equiv_pos_as_xyz
'x,y,z'
loop_
_atom_site_label
_atom_site_type_symbol
_atom_site_fract_x
_atom_site_fract_y
_atom_site_fract_z
Rb1 Rb 0.000 0.000 0.000
Na1 Na 0.250 0.250 0.250
Na2 Na 0.750 0.750 0.750
Re1 Re 0.500 0.500 0.500

6.
# BaScSe2S | the Alexandria database | PBE | optimized geometry
# - ΔE_f (raw) (eV/atom) = -1.590
# - energy (eV per atom) = -5.46
data_BaScSe2S
_chemical_formula_sum 'Ba1 Sc1 Se2 S1'
_cell_length_a 5.259
_cell_length_b 5.259
_cell_length_c 5.012
_cell_angle_alpha 90.00
_cell_angle_beta 90.00
_cell_angle_gamma 90.00
_symmetry_space_group_name_H-M 'P 1'
_symmetry_Int_Tables_number 1
loop_
_symmetry_equiv_pos_as_xyz
'x,y,z'
loop_
_atom_site_label
_atom_site_type_symbol
_atom_site_fract_x
_atom_site_fract_y
_atom_site_fract_z
Ba1 Ba 0.000 0.000 0.000
Sc1 Sc 0.500 0.500 0.500
Se1 Se 0.000 0.500 0.500
Se2 Se 0.500 0.000 0.500
S1 S 0.500 0.500 0.000

7.
# TbGeAu | the Alexandria database | PBE | optimized geometry
# - energy (eV per atom) = -4.66
# - energy relative to the elements (meV per atom) = -488
data_TbGeAu
_chemical_formula_sum 'Tb1 Ge1 Au1'
_cell_length_a 5.809
_cell_length_b 5.809
_cell_length_c 5.809
_cell_angle_alpha 144.72
_cell_angle_beta 144.72
_cell_angle_gamma 50.75
_symmetry_space_group_name_H-M 'P 1'
_symmetry_Int_Tables_number 1
loop_
_symmetry_equiv_pos_as_xyz
'x,y,z'
loop_
_atom_site_label
_atom_site_type_symbol
_atom_site_fract_x
_atom_site_fract_y
_atom_site_fract_z
Tb1 Tb 0.000 0.000 0.000
Ge1 Ge 0.313 0.313 0.000
Au1 Au 0.669 0.669 0.000

8.
# CdPbSN2 | the Alexandria database | PBE | optimized geometry
# - ΔE_f (raw) (eV/atom) = 1.351
# - energy (eV per atom) = -3.73
data_CdPbSN2
_chemical_formula_sum 'Cd1 Pb1 S1 N2'
_cell_length_a 4.352
_cell_length_b 4.352
_cell_length_c 5.427
_cell_angle_alpha 90.00
_cell_angle_beta 90.00
_cell_angle_gamma 90.00
_symmetry_space_group_name_H-M 'P 1'
_symmetry_Int_Tables_number 1
loop_
_symmetry_equiv_pos_as_xyz
'x,y,z'
loop_
_atom_site_label
_atom_site_type_symbol
_atom_site_fract_x
_atom_site_fract_y
_atom_site_fract_z
Cd1 Cd 0.000 0.000 0.000
Pb1 Pb 0.500 0.500 0.500
S1 S 0.000 0.000 0.500
N1 N 0.000 0.500 0.000
N2 N 0.500 0.000 0.000

9.
# Hf2ZrTi | the Alexandria database | PBE | optimized geometry
# - energy (eV per atom) = -9.01
# - energy relative to the elements (meV per atom) = 74
data_Hf2ZrTi
_chemical_formula_sum 'Hf2 Zr1 Ti1'
_cell_length_a 10.268
_cell_length_b 10.268
_cell_length_c 10.268
_cell_angle_alpha 17.55
_cell_angle_beta 17.55
_cell_angle_gamma 17.55
_symmetry_space_group_name_H-M 'P 1'
_symmetry_Int_Tables_number 1
loop_
_symmetry_equiv_pos_as_xyz
'x,y,z'
loop_
_atom_site_label
_atom_site_type_symbol
_atom_site_fract_x
_atom_site_fract_y
_atom_site_fract_z
Hf1 Hf 0.000 0.000 0.000
Hf2 Hf 0.175 0.175 0.175
Zr1 Zr 0.420 0.420 0.420
Ti1 Ti 0.588 0.588 0.588

10.
# Tb6Cu2Ir | the Alexandria database | PBE | optimized geometry
# - energy (eV per atom) = -5.29
# - energy relative to the elements (meV per atom) = -311
data_Tb6Cu2Ir
_chemical_formula_sum 'Tb12 Cu4 Ir2'
_cell_length_a 8.324
_cell_length_b 8.324
_cell_length_c 8.324
_cell_angle_alpha 110.01
_cell_angle_beta 109.34
_cell_angle_gamma 109.07
_symmetry_space_group_name_H-M 'P 1'
_symmetry_Int_Tables_number 1
loop_
_symmetry_equiv_pos_as_xyz
'x,y,z'
loop_
_atom_site_label
_atom_site_type_symbol
_atom_site_fract_x
_atom_site_fract_y
_atom_site_fract_z
Tb1 Tb 0.070 0.244 0.826
Tb2 Tb 0.204 0.533 0.328
Tb3 Tb 0.204 0.876 0.672
Tb4 Tb 0.317 0.239 0.556
Tb5 Tb 0.317 0.761 0.078
Tb6 Tb 0.418 0.244 0.174
Tb7 Tb 0.582 0.756 0.826
Tb8 Tb 0.683 0.239 0.922
Tb9 Tb 0.683 0.761 0.444
Tb10 Tb 0.796 0.124 0.328
Tb11 Tb 0.796 0.467 0.672
Tb12 Tb 0.930 0.756 0.174
Cu1 Cu 0.000 0.122 0.122
Cu2 Cu 0.000 0.878 0.878
Cu3 Cu 0.148 0.500 0.648
Cu4 Cu 0.852 0.500 0.352
Ir1 Ir 0.500 0.000 0.500
Ir2 Ir 0.500 0.500 0.000

11.
# Dy3Tm4Cu4 | the Alexandria database | PBE | optimized geometry
# - energy (eV per atom) = -4.47
# - energy relative to the elements (meV per atom) = -100
data_Dy3Tm4Cu4
_chemical_formula_sum 'Dy3 Tm4 Cu4'
_cell_length_a 8.634
_cell_length_b 8.634
_cell_length_c 8.634
_cell_angle_alpha 147.88
_cell_angle_beta 130.03
_cell_angle_gamma 60.65
_symmetry_space_group_name_H-M 'P 1'
_symmetry_Int_Tables_number 1
loop_
_symmetry_equiv_pos_as_xyz
'x,y,z'
loop_
_atom_site_label
_atom_site_type_symbol
_atom_site_fract_x
_atom_site_fract_y
_atom_site_fract_z
Dy1 Dy 0.000 0.000 0.000
Dy2 Dy 0.396 0.896 0.500
Dy3 Dy 0.604 0.104 0.500
Tm1 Tm 0.046 0.328 0.719
Tm2 Tm 0.391 0.672 0.719
Tm3 Tm 0.609 0.328 0.281
Tm4 Tm 0.954 0.672 0.281
Cu1 Cu 0.202 0.202 0.000
Cu2 Cu 0.331 0.500 0.831
Cu3 Cu 0.669 0.500 0.169
Cu4 Cu 0.798 0.798 0.000

12.
# Tb6C3SeS2 | the Alexandria database | PBE | optimized geometry
# - ΔE_f (raw) (eV/atom) = -1.220
# - energy (eV per atom) = -6.82
data_Tb6C3SeS2
_chemical_formula_sum 'Tb6 C3 Se1 S2'
_cell_length_a 8.649
_cell_length_b 8.649
_cell_length_c 7.790
_cell_angle_alpha 105.79
_cell_angle_beta 105.79
_cell_angle_gamma 25.10
_symmetry_space_group_name_H-M 'P 1'
_symmetry_Int_Tables_number 1
loop_
_symmetry_equiv_pos_as_xyz
'x,y,z'
loop_
_atom_site_label
_atom_site_type_symbol
_atom_site_fract_x
_atom_site_fract_y
_atom_site_fract_z
Tb1 Tb 0.009 0.009 0.224
Tb2 Tb 0.323 0.323 0.437
Tb3 Tb 0.341 0.341 0.896
Tb4 Tb 0.659 0.659 0.104
Tb5 Tb 0.677 0.677 0.563
Tb6 Tb 0.991 0.991 0.776
C1 C 0.167 0.167 0.332
C2 C 0.500 0.500 0.000
C3 C 0.833 0.833 0.668
Se1 Se 0.500 0.500 0.500
S1 S 0.167 0.167 0.833
S2 S 0.833 0.833 0.167